## w
VASP calculation (PBE) on a geometry-optimized SrLaCu2 structure.

Cell: 5.011 5.011 5.011 Å, 60.00 60.00 60.00°
Atoms (fractional coordinates):
Sr: 0.000 0.000 0.000
La: 0.250 0.250 0.250
Cu: 0.500 0.500 0.500
Cu: 0.750 0.750 0.750

* magnetic moment: 0.0 μB/f.u.
* crystal system: cubic
* symmetry: F-43m (216)

***

## x
VASP calculation (PBE) on a geometry-optimized SrLaCu2 structure.

Cell: 7.690 7.690 7.690 Å, 149.16 148.71 44.51°
Atoms (fractional coordinates):
Sr: 0.000 0.000 0.000
La: 0.252 0.752 0.500
Cu: 0.410 0.410 0.000
Cu: 0.817 0.317 0.500

* magnetic moment: 0.0 μB/f.u.
* crystal system: orthorhombic
* symmetry: Imm2 (44)

***

## y
VASP calculation (PBE) on a geometry-optimized SrLaCu2 structure.

Cell: 3.728 3.750 7.423 Å, 90.00 90.00 90.00°
Atoms (fractional coordinates):
Sr: 0.000 0.000 0.000
La: 0.000 0.000 0.500
Cu: 0.500 0.500 0.291
Cu: 0.500 0.500 0.709

* magnetic moment: 0.0 μB/f.u.
* crystal system: orthorhombic
* symmetry: Pmmm (47)

***

## z
VASP calculation (PBE) on a geometry-optimized SrLaCu2 structure.

Cell: 7.740 7.740 7.740 Å, 32.33 32.33 32.33°
Atoms (fractional coordinates):
Sr: 0.000 0.000 0.000
La: 0.500 0.500 0.500
Cu: 0.243 0.243 0.243
Cu: 0.757 0.757 0.757

* magnetic moment: 0.0 μB/f.u.
* crystal system: trigonal
* symmetry: R-3m (166)

***

Most favorable first, least favorable last: y, x, z, w

***

## w
VASP calculation (PBE) on a geometry-optimized SrLaCu2 structure.

Cell: 5.260 5.260 3.664 Å, 90.00 90.00 90.00°
Atoms (fractional coordinates):
Sr: 0.000 0.000 0.000
La: 0.500 0.500 0.000
Cu: 0.000 0.500 0.500
Cu: 0.500 0.000 0.500

* magnetic moment: 0.0 μB/f.u.
* crystal system: tetragonal
* symmetry: P4/mmm (123)

***

## x
VASP calculation (PBE) on a geometry-optimized SrLaCu2 structure.

Cell: 7.950 7.950 7.950 Å, 31.15 31.15 31.15°
Atoms (fractional coordinates):
Sr: 0.000 0.000 0.000
La: 0.173 0.173 0.173
Cu: 0.427 0.427 0.427
Cu: 0.760 0.760 0.760

* magnetic moment: 0.0 μB/f.u.
* crystal system: trigonal
* symmetry: R3m (160)

***

Most favorable first, least favorable last: x, w

***

## w
VASP calculation (PBE) on a geometry-optimized SrLaCu2 structure.

Cell: 4.135 4.518 6.114 Å, 90.00 109.64 90.00°
Atoms (fractional coordinates):
Sr: 0.000 0.000 0.000
La: 0.276 0.500 0.551
Cu: 0.588 0.500 0.175
Cu: 0.709 0.000 0.418

* magnetic moment: 0.0 μB/f.u.
* crystal system: monoclinic
* symmetry: Pm (6)

***

## x
VASP calculation (PBE) on a geometry-optimized SrLaCu2 structure.

Cell: 6.749 6.749 6.749 Å, 108.31 108.31 111.81°
Atoms (fractional coordinates):
Sr: 0.000 0.000 0.000
Sr: 0.750 0.250 0.500
La: 0.250 0.750 0.500
La: 0.500 0.500 0.000
Cu: 0.142 0.625 0.017
Cu: 0.375 0.392 0.517
Cu: 0.608 0.125 0.983
Cu: 0.875 0.858 0.483

* magnetic moment: 0.0 μB/f.u.
* crystal system: tetragonal
* symmetry: I-42d (122)

***

Most favorable first, least favorable last: w, x

***

## w
VASP calculation (PBE) on a geometry-optimized SrLaCu2 structure.

Cell: 3.571 3.571 8.254 Å, 90.00 90.00 90.00°
Atoms (fractional coordinates):
Sr: 0.000 0.000 0.000
La: 0.500 0.500 0.587
Cu: 0.000 0.000 0.368
Cu: 0.500 0.500 0.243

* magnetic moment: 0.1 μB/f.u.
* crystal system: tetragonal
* symmetry: P4mm (99)

***

## x
VASP calculation (PBE) on a geometry-optimized SrLaCu2 structure.

Cell: 5.231 5.231 5.231 Å, 60.00 60.00 60.00°
Atoms (fractional coordinates):
Sr: 0.000 0.000 0.000
La: 0.500 0.500 0.500
Cu: 0.250 0.250 0.250
Cu: 0.750 0.750 0.750

* magnetic moment: 0.0 μB/f.u.
* crystal system: cubic
* symmetry: Fm-3m (225)

***

Most favorable first, least favorable last: x, w